# RbPbSeI

An optimized crystal structure of RbPbSeI (PBE-GGA, the Alexandria database).

Geometry as CIF:
```
data_RbPbSeI
_chemical_formula_sum 'Rb3 Pb3 Se3 I3'
_space_group_name_H-M_alt 'R 3 m'
_space_group_IT_number 160
_space_group_name_Hall 'R 3 -2"'
_cell_length_a 4.5154
_cell_length_b 4.5154
_cell_length_c 26.5112
_cell_angle_alpha 90.00
_cell_angle_beta 90.00
_cell_angle_gamma 120.00
loop_
_atom_site_label
_atom_site_fract_x
_atom_site_fract_y
_atom_site_fract_z
_atom_site_occupancy
Rb1 0.0000 0.0000 0.0000 1
Pb1 0.0000 0.0000 0.8112 1
Se1 0.0000 0.0000 0.4208 1
I1 0.0000 0.0000 0.5719 1
```

The total DFT energy (no corrections) is -40.0 eV for the cell shown. The value obtained for the formation energy (no corrections) is -0.905 eV/atom. The total magnetization comes out at 0.0 Bohr magnetons per cell.